Rb2AcScTe4: relaxed, PBE.

Cell lengths 4.618, 8.029, 8.961 Å; angles 107.20, 90.00, 90.00 degrees
Fractional positions:
Rb: 0.500 0.000 0.500
Rb: 0.000 0.500 0.500
Ac: 0.500 0.500 0.000
Sc: 0.000 0.000 0.000
Te: 0.500 0.206 0.193
Te: 0.500 0.794 0.807
Te: 0.000 0.237 0.794
Te: 0.000 0.763 0.206

Values from the calculation:
The magnetic moment is 0.0 μB per cell. As for the space-group type: P2/m (10). The final energy comes out at -4.444 eV/atom.



Rb4Ac3ScTe8: relaxed, PBE.

Cell lengths 9.503, 10.194, 9.503 Å; angles 117.79, 120.00, 90.00 degrees
Fractional positions:
Rb: 0.500 0.000 0.000
Rb: 0.500 0.000 0.500
Rb: 0.000 0.000 0.000
Rb: 0.000 0.000 0.500
Ac: 0.500 0.500 0.000
Ac: 0.500 0.500 0.500
Ac: 0.000 0.500 0.500
Sc: 0.000 0.500 0.000
Te: 0.221 0.702 0.981
Te: 0.221 0.702 0.442
Te: 0.261 0.282 0.522
Te: 0.760 0.702 0.981
Te: 0.240 0.298 0.019
Te: 0.739 0.718 0.478
Te: 0.779 0.298 0.558
Te: 0.779 0.298 0.019

Values from the calculation:
The magnetic moment is 0.0 μB per cell. As for the space-group type: R-3m (166). The final energy comes out at -4.381 eV/atom.



RbAc6Se8: relaxed, PBE.

Cell lengths 4.564, 12.164, 12.164 Å; angles 120.00, 90.00, 90.00 degrees
Fractional positions:
Rb: 0.500 0.000 0.000
Ac: 0.753 0.524 0.666
Ac: 0.753 0.334 0.858
Ac: 0.753 0.142 0.476
Ac: 0.247 0.476 0.334
Ac: 0.247 0.666 0.142
Ac: 0.247 0.858 0.524
Se: 0.746 0.633 0.956
Se: 0.746 0.044 0.677
Se: 0.746 0.323 0.367
Se: 0.254 0.367 0.044
Se: 0.254 0.956 0.323
Se: 0.254 0.677 0.633
Se: 0.747 0.667 0.333
Se: 0.253 0.333 0.667

Values from the calculation:
The magnetic moment is 0.6 μB per cell. As for the space-group type: P-3 (147). The final energy comes out at -5.309 eV/atom.



RbAcSe2: relaxed, PBE.

Cell lengths 4.582, 4.582, 8.649 Å; angles 74.64, 74.64, 60.00 degrees
Fractional positions:
Rb: 0.498 0.498 0.507
Ac: 0.667 0.667 0.998
Se: 0.069 0.069 0.792
Se: 0.266 0.266 0.203

Values from the calculation:
The magnetic moment is 0.0 μB per cell. As for the space-group type: R3m (160). The final energy comes out at -4.788 eV/atom.



RbAc5Se6: relaxed, PBE.

Cell lengths 7.839, 7.811, 7.800 Å; angles 59.95, 80.44, 70.62 degrees
Fractional positions:
Ac: 0.500 0.162 0.677
Ac: 0.000 0.333 0.333
Ac: 0.500 0.500 0.000
Ac: 0.000 0.667 0.667
Ac: 0.500 0.838 0.323
Se: 0.742 0.086 0.344
Se: 0.258 0.570 0.344
Se: 0.250 0.259 0.000
Se: 0.750 0.741 0.000
Se: 0.742 0.430 0.656
Se: 0.258 0.914 0.656
Rb: 0.000 0.000 0.000

Values from the calculation:
The magnetic moment is 0.0 μB per cell. As for the space-group type: C2/m (12). The final energy comes out at -5.342 eV/atom.



RbAcSe2: relaxed, PBE.

Cell lengths 3.926, 3.926, 8.333 Å; angles 90.00, 90.00, 90.00 degrees
Fractional positions:
Ac: 0.500 0.500 0.000
Se: 0.000 0.000 0.788
Se: 0.000 0.000 0.212
Rb: 0.500 0.500 0.500

Values from the calculation:
The magnetic moment is 0.0 μB per cell. As for the space-group type: P4/mmm (123). The final energy comes out at -4.621 eV/atom.



RbAc5Se8: relaxed, PBE.

Cell lengths 8.210, 8.210, 8.210 Å; angles 109.24, 109.93, 109.24 degrees
Fractional positions:
Rb: 0.250 0.500 0.750
Ac: 0.010 0.379 0.126
Ac: 0.874 0.884 0.253
Ac: 0.747 0.621 0.631
Ac: 0.500 0.000 0.500
Ac: 0.369 0.116 0.990
Se: 0.119 0.757 0.036
Se: 0.964 0.084 0.721
Se: 0.758 0.244 0.364
Se: 0.636 0.394 0.880
Se: 0.486 0.606 0.242
Se: 0.637 0.916 0.881
Se: 0.279 0.243 0.363
Se: 0.120 0.756 0.514

Values from the calculation:
The magnetic moment is 0.0 μB per cell. As for the space-group type: I-4 (82). The final energy comes out at -5.498 eV/atom.



RbAc4Se6: relaxed, PBE.

Cell lengths 4.605, 9.490, 9.490 Å; angles 120.00, 90.00, 90.00 degrees
Fractional positions:
Rb: 0.000 0.000 0.000
Ac: 0.500 0.801 0.602
Ac: 0.500 0.398 0.199
Ac: 0.500 0.801 0.199
Ac: 0.000 0.333 0.667
Se: 0.000 0.533 0.066
Se: 0.500 0.655 0.827
Se: 0.000 0.533 0.467
Se: 0.000 0.934 0.467
Se: 0.500 0.173 0.827
Se: 0.500 0.173 0.345

Values from the calculation:
The magnetic moment is 1.0 μB per cell. As for the space-group type: P-6m2 (187). The final energy comes out at -5.142 eV/atom.



RbAc2Se: relaxed, PBE.

Cell lengths 4.272, 4.272, 12.605 Å; angles 80.24, 80.24, 60.00 degrees
Fractional positions:
Ac: 0.116 0.116 0.653
Ac: 0.884 0.884 0.347
Se: 0.500 0.500 0.500
Rb: 0.000 0.000 0.000

Values from the calculation:
The magnetic moment is 0.0 μB per cell. As for the space-group type: R-3m (166). The final energy comes out at -3.801 eV/atom.



RbAcSe2: relaxed, PBE.

Cell lengths 4.614, 4.614, 8.472 Å; angles 74.20, 74.20, 60.00 degrees
Fractional positions:
Rb: 0.500 0.500 0.500
Ac: 0.000 0.000 0.000
Se: 0.264 0.264 0.207
Se: 0.736 0.736 0.793

Values from the calculation:
The magnetic moment is 0.0 μB per cell. As for the space-group type: R-3m (166). The final energy comes out at -4.816 eV/atom.



RbAcSiSe4: relaxed, PBE.

Cell lengths 7.030, 7.076, 9.651 Å; angles 90.00, 107.39, 90.00 degrees
Fractional positions:
Rb: 0.731 0.750 0.935
Rb: 0.269 0.250 0.065
Ac: 0.765 0.750 0.450
Ac: 0.235 0.250 0.550
Si: 0.206 0.750 0.316
Si: 0.794 0.250 0.684
Se: 0.005 0.505 0.724
Se: 0.995 0.005 0.276
Se: 0.995 0.495 0.276
Se: 0.005 0.995 0.724
Se: 0.402 0.750 0.167
Se: 0.598 0.250 0.833
Se: 0.384 0.750 0.559
Se: 0.616 0.250 0.441

Values from the calculation:
The magnetic moment is 0.0 μB per cell. As for the space-group type: P2_1/m (11). The final energy comes out at -4.812 eV/atom.



Rb3AcSm2Se6: relaxed, PBE.

Cell lengths 7.659, 7.659, 8.431 Å; angles 98.72, 98.72, 120.00 degrees
Fractional positions:
Rb: 0.165 0.835 0.500
Rb: 0.835 0.165 0.500
Rb: 0.500 0.500 0.500
Ac: 0.000 0.000 0.000
Sm: 0.333 0.667 0.000
Sm: 0.667 0.333 0.000
Se: 0.933 0.586 0.798
Se: 0.720 0.720 0.201
Se: 0.067 0.414 0.202
Se: 0.586 0.933 0.798
Se: 0.280 0.280 0.799
Se: 0.414 0.067 0.202

Values from the calculation:
The magnetic moment is 0.0 μB per cell. As for the space-group type: C2/m (12). The final energy comes out at -4.868 eV/atom.



RbAcSnSe4: relaxed, PBE.

Cell lengths 7.355, 7.299, 9.671 Å; angles 90.00, 107.15, 90.00 degrees
Fractional positions:
Rb: 0.743 0.750 0.938
Rb: 0.257 0.250 0.062
Ac: 0.766 0.750 0.444
Ac: 0.234 0.250 0.556
Sn: 0.222 0.750 0.320
Sn: 0.778 0.250 0.680
Se: 0.013 0.516 0.717
Se: 0.987 0.016 0.283
Se: 0.987 0.484 0.283
Se: 0.013 0.984 0.717
Se: 0.428 0.750 0.153
Se: 0.572 0.250 0.847
Se: 0.427 0.750 0.584
Se: 0.573 0.250 0.416

Values from the calculation:
The magnetic moment is 0.0 μB per cell. As for the space-group type: P2_1/m (11). The final energy comes out at -4.500 eV/atom.



RbSr2Ac3Se6: relaxed, PBE.

Cell lengths 4.486, 9.122, 10.120 Å; angles 103.53, 102.81, 90.00 degrees
Fractional positions:
Rb: 0.500 0.000 0.000
Sr: 0.833 0.667 0.666
Sr: 0.167 0.333 0.334
Ac: 0.500 0.500 0.000
Ac: 0.835 0.167 0.670
Ac: 0.165 0.833 0.330
Se: 0.327 0.913 0.654
Se: 0.667 0.583 0.334
Se: 0.673 0.087 0.346
Se: 0.001 0.267 0.002
Se: 0.999 0.733 0.998
Se: 0.333 0.417 0.666

Values from the calculation:
The magnetic moment is 0.0 μB per cell. As for the space-group type: C2/m (12). The final energy comes out at -4.995 eV/atom.



RbSrAc2Se4: relaxed, PBE.

Cell lengths 9.117, 9.117, 9.055 Å; angles 119.78, 119.78, 89.97 degrees
Fractional positions:
Rb: 0.000 0.500 0.000
Rb: 0.000 0.500 0.500
Sr: 0.500 0.500 0.500
Sr: 0.000 0.000 0.000
Ac: 0.500 0.000 0.000
Ac: 0.500 0.000 0.500
Ac: 0.000 0.000 0.500
Ac: 0.500 0.500 0.000
Se: 0.271 0.766 0.018
Se: 0.734 0.229 0.482
Se: 0.266 0.771 0.518
Se: 0.729 0.234 0.982
Se: 0.743 0.757 0.002
Se: 0.743 0.757 0.498
Se: 0.257 0.243 0.502
Se: 0.257 0.243 0.998

Values from the calculation:
The magnetic moment is 0.0 μB per cell. As for the space-group type: Imma (74). The final energy comes out at -4.932 eV/atom.



Rb3Ac3TaSe8: relaxed, PBE.

Cell lengths 8.826, 8.826, 9.657 Å; angles 117.19, 90.00, 120.00 degrees
Fractional positions:
Rb: 0.000 0.000 0.000
Rb: 0.000 0.500 0.000
Rb: 0.500 0.500 0.000
Ac: 0.500 0.000 0.500
Ac: 0.500 0.500 0.500
Ac: 0.000 0.500 0.500
Ta: 0.000 0.000 0.500
Se: 0.262 0.524 0.286
Se: 0.738 0.476 0.714
Se: 0.793 0.586 0.313
Se: 0.207 0.414 0.687
Se: 0.793 0.020 0.313
Se: 0.207 0.980 0.687
Se: 0.227 0.020 0.313
Se: 0.773 0.980 0.687

Values from the calculation:
The magnetic moment is 1.0 μB per cell. As for the space-group type: R-3m (166). The final energy comes out at -5.171 eV/atom.



Rb3AcTb2Se6: relaxed, PBE.

Cell lengths 7.582, 7.582, 8.419 Å; angles 98.66, 98.66, 120.00 degrees
Fractional positions:
Rb: 0.164 0.836 0.500
Rb: 0.836 0.164 0.500
Rb: 0.500 0.500 0.500
Ac: 0.000 0.000 0.000
Tb: 0.333 0.667 0.000
Tb: 0.667 0.333 0.000
Se: 0.933 0.582 0.800
Se: 0.715 0.715 0.199
Se: 0.067 0.418 0.200
Se: 0.582 0.933 0.800
Se: 0.285 0.285 0.801
Se: 0.418 0.067 0.200

Values from the calculation:
The magnetic moment is 0.0 μB per cell. As for the space-group type: C2/m (12). The final energy comes out at -4.852 eV/atom.



RbAc2TeSe4: relaxed, PBE.

Cell lengths 4.557, 8.192, 16.034 Å; angles 90.00, 90.00, 106.15 degrees
Fractional positions:
Rb: 0.154 0.308 0.750
Rb: 0.846 0.692 0.250
Ac: 0.368 0.737 0.560
Ac: 0.632 0.263 0.060
Ac: 0.632 0.263 0.440
Ac: 0.368 0.737 0.940
Te: 0.904 0.807 0.750
Te: 0.096 0.193 0.250
Se: 0.265 0.531 0.099
Se: 0.735 0.469 0.599
Se: 0.735 0.469 0.901
Se: 0.265 0.531 0.401
Se: 0.000 0.000 0.500
Se: 0.000 0.000 0.000
Se: 0.487 0.974 0.750
Se: 0.513 0.026 0.250

Values from the calculation:
The magnetic moment is 0.0 μB per cell. As for the space-group type: Cmcm (63). The final energy comes out at -4.655 eV/atom.



RbAcTeSe: relaxed, PBE.

Cell lengths 4.699, 4.699, 9.000 Å; angles 90.02, 105.12, 120.00 degrees
Fractional positions:
Rb: 0.970 0.383 0.368
Ac: 0.294 0.545 0.854
Te: 0.112 0.954 0.082
Se: 0.502 0.149 0.667

Values from the calculation:
The magnetic moment is 0.0 μB per cell. As for the space-group type: R3m (160). The final energy comes out at -4.535 eV/atom.



Rb4AcTh3Se8: relaxed, PBE.

Cell lengths 8.711, 9.567, 8.710 Å; angles 117.09, 120.00, 90.00 degrees
Fractional positions:
Rb: 0.500 0.000 0.000
Rb: 0.500 0.000 0.500
Rb: 0.000 0.000 0.000
Rb: 0.000 0.000 0.500
Ac: 0.000 0.500 0.000
Th: 0.500 0.500 0.000
Th: 0.500 0.500 0.500
Th: 0.000 0.500 0.500
Se: 0.243 0.708 0.965
Se: 0.243 0.708 0.487
Se: 0.266 0.297 0.531
Se: 0.722 0.708 0.965
Se: 0.278 0.292 0.035
Se: 0.734 0.703 0.469
Se: 0.757 0.292 0.513
Se: 0.757 0.292 0.035

Values from the calculation:
The magnetic moment is 0.0 μB per cell. As for the space-group type: R-3m (166). The final energy comes out at -5.206 eV/atom.